A plane-wave DFT calculation with PBE was carried out for a relaxed structure of Y4SnRu.

The value obtained for the energy above the most stable polymorph in this dataset is 0 meV/atom. The size of the total moment comes out at 0.00 μB per formula unit. For the formation energy, the calculation gives -11.06 kcal/mol of atoms.

It has space group C2/c (No. 15), with a = 8.974 Å, b = 13.461 Å, c = 6.165 Å, α = 90.00°, β = 115.53° and γ = 90.00°. Symmetry generates all atoms from Y at (0.112, 0.170, 0.071), Y at (0.218, 0.431, 0.332), Sn at (0.000, 0.371, 0.750) and Ru at (0.000, 0.000, 0.250).



A plane-wave DFT calculation with PBE was carried out for a relaxed structure of YSn2Ru2.

The size of the total moment comes out at 0.00 μB per formula unit. For the formation energy, the calculation gives -4.33 kcal/mol of atoms.

It has space group P4/mbm (No. 127), with a = 7.926 Å, b = 7.926 Å, c = 3.200 Å, α = 90.00°, β = 90.00° and γ = 90.00°. Symmetry generates all atoms from Y at (0.000, 0.000, 0.000), Sn at (0.136, 0.364, 0.000) and Ru at (0.160, 0.660, 0.500).



A plane-wave DFT calculation with PBE was carried out for a relaxed structure of YSnRu2.

The size of the total moment comes out at 0.00 μB per formula unit. For the formation energy, the calculation gives -7.88 kcal/mol of atoms.

It has space group P4/mmm (No. 123), with a = 4.613 Å, b = 4.613 Å, c = 3.391 Å, α = 90.00°, β = 90.00° and γ = 90.00°. Symmetry generates all atoms from Y at (0.000, 0.000, 0.000), Sn at (0.500, 0.500, 0.000) and Ru at (0.000, 0.500, 0.500).



Copy entry 1 word for word.
A plane-wave DFT calculation with PBE was carried out for a relaxed structure of Y4SnRu.

The value obtained for the energy above the most stable polymorph in this dataset is 0 meV/atom. The size of the total moment comes out at 0.00 μB per formula unit. For the formation energy, the calculation gives -11.06 kcal/mol of atoms.

It has space group C2/c (No. 15), with a = 8.974 Å, b = 13.461 Å, c = 6.165 Å, α = 90.00°, β = 115.53° and γ = 90.00°. Symmetry generates all atoms from Y at (0.112, 0.170, 0.071), Y at (0.218, 0.431, 0.332), Sn at (0.000, 0.371, 0.750) and Ru at (0.000, 0.000, 0.250).